No. 1
CeSmScZn: relaxed, PBE-GGA.

```
CeSmScZn
1.0
0.000 3.723 3.723
3.723 0.000 3.723
3.723 3.723 0.000
Ce Sm Sc Zn
1 1 1 1
Direct
0.000 0.000 0.000
0.500 0.500 0.500
0.250 0.250 0.250
0.750 0.750 0.750
```

Results
Its total DFT energy (no corrections) is -4.54 eV per atom. The calculation puts the mass density at 6.45 Mg/m³. The value obtained for the density of states at the Fermi level is 7.2 states/eV/f.u. Its formation energy is 0.1 eV/f.u.



No. 2
CeSc3Sn3: relaxed, PBE-GGA.

```
CeSc3Sn3
1.0
8.816 0.000 0.000
-4.408 7.635 0.000
0.000 0.000 5.189
Ce Sc Sn
2 6 6
Direct
0.333 0.667 0.250
0.667 0.333 0.750
0.010 0.778 0.250
0.222 0.232 0.250
0.232 0.010 0.750
0.768 0.990 0.250
0.778 0.768 0.750
0.990 0.222 0.750
0.073 0.635 0.750
0.365 0.438 0.750
0.438 0.073 0.250
0.562 0.927 0.750
0.635 0.562 0.250
0.927 0.365 0.250
```

Results
Its total DFT energy (no corrections) is -5.79 eV per atom. The calculation puts the mass density at 6.00 Mg/m³. The value obtained for the density of states at the Fermi level is 8.7 states/eV/f.u. Its formation energy is -3.6 eV/f.u.



No. 3
CeScSn6: relaxed, PBE-GGA.

```
CeScSn6
1.0
4.725 0.000 0.000
0.000 4.725 0.000
0.000 0.000 9.155
Ce Sc Sn
1 1 6
Direct
0.000 0.000 0.000
0.000 0.000 0.500
0.000 0.500 0.259
0.000 0.500 0.741
0.500 0.000 0.259
0.500 0.000 0.741
0.500 0.500 0.000
0.500 0.500 0.500
```

Results
Its total DFT energy (no corrections) is -4.93 eV per atom. The calculation puts the mass density at 7.29 Mg/m³. The value obtained for the density of states at the Fermi level is 7.9 states/eV/f.u. Its formation energy is -3.2 eV/f.u.